1.
# U2PaMnN5

U2PaMnN5 after structural relaxation (GGA-PBE, the Alexandria database).

Cell and atoms, written as extended XYZ:
```
18
Lattice="-1.783 4.618 -2.472 -4.821 -3.232 -2.560 -3.580 1.329 5.065" Properties=species:S:1:pos:R:3 pbc="T T T"
U -4.688 0.379 -2.103
U -2.886 2.221 0.039
U -7.298 0.494 -0.005
U -5.497 2.336 2.136
Pa -4.201 -0.952 1.253
Pa 0.000 0.000 0.000
Mn -1.790 0.664 2.533
Mn -2.411 -1.616 -1.280
N -5.092 1.358 0.017
N -0.892 2.309 -1.236
N -3.529 1.433 2.356
N -5.698 -1.198 -0.995
N -2.628 0.173 -0.648
N -6.600 0.062 2.009
N -4.487 3.913 1.029
N -7.557 2.542 0.682
N -6.655 1.282 -2.322
N -3.585 2.653 -1.976
```

E   -93.06 eV per formula unit
Magnetic moment   1.04 μB per formula unit



2.
# TaRe

TaRe after structural relaxation (GGA-PBE, the Alexandria database).

Cell and atoms, written as extended XYZ:
```
8
Lattice="-3.927 -1.593 1.824 -1.315 -2.157 -4.714 2.534 -4.631 1.412" Properties=species:S:1:pos:R:3 pbc="T T T"
Ta -1.532 -2.347 -2.430
Ta -2.174 -3.278 1.209
Ta -0.533 -5.103 -2.687
Ta -1.176 -6.034 0.952
Re -0.951 -1.181 -0.162
Re -2.785 -4.494 -1.169
Re 0.078 -3.887 -0.309
Re -1.756 -7.200 -1.316
```

Magnetic moment   0.00 μB per formula unit
ΔH_f (0 K)   0.042 eV/f.u.



3.
# CrSbPb2

CrSbPb2 after structural relaxation (GGA-PBE, the Alexandria database).

Cell and atoms, written as extended XYZ:
```
4
Lattice="-2.861 -1.608 4.197 0.325 -5.050 1.668 2.430 -1.133 4.604" Properties=species:S:1:pos:R:3 pbc="T T T"
Cr -0.053 -3.896 5.235
Pb 0.000 0.000 0.000
Pb -0.026 -1.948 2.617
Sb -0.079 -5.844 7.852
```

E   -19.44 eV per formula unit
Magnetic moment   4.08 μB per formula unit



4.
# LiDy3Pd4

LiDy3Pd4 after structural relaxation (GGA-PBE, the Alexandria database).

Cell and atoms, written as extended XYZ:
```
8
Lattice="4.677 0.000 1.381 2.135 4.162 1.381 0.084 0.051 8.328" Properties=species:S:1:pos:R:3 pbc="T T T"
Dy 1.774 1.084 2.604
Dy 5.122 3.129 8.486
Dy 3.448 2.106 5.545
Pd 5.989 3.659 5.550
Pd 2.653 1.621 8.237
Pd 0.907 0.554 5.539
Pd 4.243 2.592 2.852
Li 0.000 0.000 0.000
```

Magnetic moment   0.00 μB per formula unit
ΔH_f (0 K)   -6.344 eV/f.u.



5.
# KCoH2

KCoH2 after structural relaxation (GGA-PBE, the Alexandria database).

Cell and atoms, written as extended XYZ:
```
8
Lattice="5.353 0.000 0.000 0.000 5.353 0.000 2.676 2.676 3.700" Properties=species:S:1:pos:R:3 pbc="T T T"
H 4.925 1.338 0.925
H 5.780 4.014 0.925
H 4.014 3.103 2.775
H 6.691 2.249 2.775
K 2.676 2.676 0.000
K 2.676 5.353 1.850
Co 0.000 0.000 0.000
Co 5.353 2.676 1.850
```

Magnetic moment   2.00 μB per formula unit
Polymorph energy (0 for the lowest one)   0.00 eV/f.u.



6.
# Ba3Tl6Sn2Hg

Ba3Tl6Sn2Hg after structural relaxation (GGA-PBE, the Alexandria database).

Cell and atoms, written as extended XYZ:
```
12
Lattice="-1.271 3.658 5.302 -4.914 -1.975 -3.880 -1.126 -9.370 6.194" Properties=species:S:1:pos:R:3 pbc="T T T"
Ba -4.358 -5.577 2.803
Ba -2.953 -2.109 4.813
Ba 0.000 0.000 0.000
Tl -5.213 -1.748 1.937
Tl -2.200 -2.568 1.245
Tl -4.594 -3.530 -0.646
Tl -5.111 -5.118 6.372
Tl -2.098 -5.938 5.679
Tl -2.717 -4.156 8.262
Sn -3.584 -7.365 8.288
Sn -3.727 -0.321 -0.671
Hg -0.563 -4.685 3.097
```

Magnetic moment   0.00 μB per formula unit
ΔH_f (0 K)   -2.006 eV/f.u.



7.
# Zr2Bi2Pb

Zr2Bi2Pb after structural relaxation (GGA-PBE, the Alexandria database).

Cell and atoms, written as extended XYZ:
```
10
Lattice="-2.681 -5.331 -6.145 8.121 -1.374 -2.352 0.209 -2.875 2.403" Properties=species:S:1:pos:R:3 pbc="T T T"
Pb 0.000 0.000 0.000
Pb 2.720 -3.352 -4.248
Bi 5.949 -3.015 -4.126
Bi 3.030 -5.413 -6.741
Bi -0.509 -3.690 -4.371
Bi 2.409 -1.292 -1.756
Zr 4.895 -3.024 -1.114
Zr 5.436 -6.008 -4.732
Zr 0.754 -6.556 -4.980
Zr 0.213 -3.572 -1.362
```

Magnetic moment   0.00 μB per formula unit
Polymorph energy (0 for the lowest one)   0.85 eV/f.u.
ΔH_f (0 K)   -0.240 eV/f.u.



8.
# Y2TlCd

Y2TlCd after structural relaxation (GGA-PBE, the Alexandria database).

Cell and atoms, written as extended XYZ:
```
4
Lattice="6.246 0.009 0.000 2.983 5.487 0.000 -4.614 -2.748 3.188" Properties=species:S:1:pos:R:3 pbc="T T T"
Cd 4.614 2.748 0.000
Tl 3.123 0.004 1.594
Y 0.000 0.000 0.000
Y 1.492 2.744 1.594
```

Magnetic moment   0.00 μB per formula unit
ΔH_f (0 K)   -0.997 eV/f.u.